VASP calculation (GGA-PBE) on a relaxed GaCoPdRh crystal.

Geometry as CIF:
```
data_GaCoPdRh
_cell_length_a 6.038
_cell_length_b 6.038
_cell_length_c 6.038
_cell_angle_alpha 90.00
_cell_angle_beta 90.00
_cell_angle_gamma 90.00
_symmetry_space_group_name_H-M 'F -4 3 m'
_symmetry_Int_Tables_number 216
_symmetry_space_group_name_Hall 'F -4 2 3'
loop_
_atom_site_label
_atom_site_type_symbol
_atom_site_fract_x
_atom_site_fract_y
_atom_site_fract_z
Ga1 Ga 0.000 0.000 0.000
Co1 Co 0.000 0.000 0.500
Pd1 Pd 0.250 0.250 0.250
Rh1 Rh 0.250 0.250 0.750
```

Values from the calculation:
Formation enthalpy at 0 K in meV per atom: -270

VASP calculation (GGA-PBE) on a relaxed GaCoPdRu crystal.

Geometry as CIF:
```
data_GaCoPdRu
_cell_length_a 6.032
_cell_length_b 6.032
_cell_length_c 6.032
_cell_angle_alpha 90.00
_cell_angle_beta 90.00
_cell_angle_gamma 90.00
_symmetry_space_group_name_H-M 'F -4 3 m'
_symmetry_Int_Tables_number 216
_symmetry_space_group_name_Hall 'F -4 2 3'
loop_
_atom_site_label
_atom_site_type_symbol
_atom_site_fract_x
_atom_site_fract_y
_atom_site_fract_z
Ga1 Ga 0.000 0.000 0.000
Co1 Co 0.000 0.000 0.500
Pd1 Pd 0.250 0.250 0.750
Ru1 Ru 0.250 0.250 0.250
```

Values from the calculation:
Formation enthalpy at 0 K in meV per atom: -139

VASP calculation (GGA-PBE) on a relaxed GaCoPdS2 crystal.

Geometry as CIF:
```
data_GaCoPdS2
_cell_length_a 4.620
_cell_length_b 4.620
_cell_length_c 4.503
_cell_angle_alpha 90.00
_cell_angle_beta 90.00
_cell_angle_gamma 90.00
_symmetry_space_group_name_H-M 'P 4/m m m'
_symmetry_Int_Tables_number 123
_symmetry_space_group_name_Hall '-P 4 2'
loop_
_atom_site_label
_atom_site_type_symbol
_atom_site_fract_x
_atom_site_fract_y
_atom_site_fract_z
Ga1 Ga 0.000 0.000 0.000
Co1 Co 0.000 0.000 0.500
Pd1 Pd 0.500 0.500 0.500
S1 S 0.000 0.500 0.000
```

Values from the calculation:
Raw total energy in eV per atom: -3.839

| no. | D(E_F) (states/eV per cell) |
| --- | --- |
| 1 | 26.1 |
| 2 | 21.9 |
| 3 | 5.3 |